# 1
FeHg2Se after structural relaxation. Source: Alexandria via LeMat-Bulk, functional GGA-PBE.

Cell and atoms, written as extended XYZ:
```
4
Lattice="3.8957 0.0000 0.0000 0.0000 3.8957 0.0000 0.0000 0.0000 6.1539" Properties=species:S:1:pos:R:3 pbc="T T T"
Fe 0.0000 0.0000 0.0000
Hg 0.0000 1.9479 3.0770
Hg 1.9479 0.0000 3.0770
Se 1.9479 1.9479 0.0000
```

**VASP energy**: -2.731 eV per atom
**Formation energy (no corrections)**: 0.4070 eV per atom
**Calculated volume**: 23.35 Å³ per atom

***

# 2
FeHgSe2 after structural relaxation. Source: Alexandria via LeMat-Bulk, functional GGA-PBE.

Cell and atoms, written as extended XYZ:
```
4
Lattice="4.2189 0.0000 0.0000 0.0000 3.8078 0.0000 -0.2072 0.0000 5.3120" Properties=species:S:1:pos:R:3 pbc="T T T"
Fe 0.0000 0.0000 0.0000
Hg 2.1095 1.9039 0.0000
Se -0.1036 0.0000 2.6560
Se 2.0059 1.9039 2.6560
```

**VASP energy**: -3.444 eV per atom
**Formation energy (no corrections)**: 0.4896 eV per atom
**Calculated volume**: 21.33 Å³ per atom